Entry 1:
## HfZr2HPt (PBE)

Data for a relaxed structure of HfZr2HPt.

Structure (POSCAR):
```
HfZr2HPt
1.0
-0.2395 -3.8519 -3.5938
1.1500 -3.2115 3.3655
-5.1138 -0.6943 1.0849
Zr Pt Hf H
2 1 1 1
Direct
0.0000 0.0000 0.5000 Zr
0.5000 0.0000 0.0000 Zr
0.0000 0.5000 0.0000 Pt
0.0000 0.0000 0.0000 Hf
0.5000 0.5000 0.5000 H
```

Values from the calculation:
Polymorph energy (0 for the lowest one) (kJ/mol of formula units): 899

---

Entry 2:
## ScMoW2 (PBE)

Data for a relaxed structure of ScMoW2.

Structure (POSCAR):
```
ScMoW2
1.0
0.0000 3.2215 3.2215
3.2215 0.0000 3.2215
3.2215 3.2215 0.0000
Mo W Sc
1 2 1
Direct
0.5000 0.5000 0.5000 Mo
0.7500 0.7500 0.7500 W
0.2500 0.2500 0.2500 W
0.0000 0.0000 0.0000 Sc
```

Values from the calculation:
Formation energy (eV/atom): 0.22
Polymorph energy (0 for the lowest one) (kJ/mol of formula units): 52

---

Entry 3:
## Ce2TlCu (PBE)

Data for a relaxed structure of Ce2TlCu.

Structure (POSCAR):
```
Ce2TlCu
1.0
3.3395 0.0000 0.0000
1.6698 2.8921 0.0000
1.6698 0.9640 10.3062
Cu Ce Tl
1 2 1
Direct
0.0000 0.0000 0.0000 Cu
0.2603 0.2603 0.2192 Ce
0.7397 0.7397 0.7808 Ce
0.5000 0.5000 0.5000 Tl
```

Values from the calculation:
Formation energy (eV/atom): 0.05

---

Entry 4:
## Sm3Dy8Ho4 (PBE)

Data for a relaxed structure of Sm3Dy8Ho4.

Structure (POSCAR):
```
Sm3Dy8Ho4
1.0
6.7357 -0.0598 -0.0859
-3.2742 8.5656 1.1328
-3.2742 -1.9111 8.4261
Dy Sm Ho
8 3 4
Direct
0.0097 0.2616 0.2616 Dy
0.5397 0.2693 0.2693 Dy
0.4603 0.7307 0.7307 Dy
0.9903 0.7384 0.7384 Dy
0.5000 0.2527 0.7473 Dy
0.0000 0.6418 0.3582 Dy
0.0000 0.3582 0.6418 Dy
0.5000 0.7473 0.2527 Dy
0.5000 0.5000 0.0000 Sm
0.5000 0.0000 0.5000 Sm
0.5000 0.5000 0.5000 Sm
0.5000 0.0000 0.0000 Ho
0.0000 0.5000 0.0000 Ho
0.0000 0.0000 0.5000 Ho
0.0000 0.0000 0.0000 Ho
```

Values from the calculation:
Formation energy (eV/atom): 0.40

---

Entry 5:
## YTm12Te7 (PBE)

Data for a relaxed structure of YTm12Te7.

Structure (POSCAR):
```
YTm12Te7
1.0
9.2008 -0.2265 -0.3400
-2.7759 8.7750 -0.3400
-2.7759 -3.6935 7.9671
Tm Te Y
12 7 1
Direct
0.4668 0.1374 0.4277 Tm
0.4277 0.4668 0.1374 Tm
0.1374 0.4277 0.4668 Tm
0.5723 0.5332 0.8626 Tm
0.2835 0.7009 0.9156 Tm
0.0844 0.7165 0.2991 Tm
0.2991 0.0844 0.7165 Tm
0.7165 0.2991 0.0844 Tm
0.8626 0.5723 0.5332 Tm
0.9156 0.2835 0.7009 Tm
0.7009 0.9156 0.2835 Tm
0.5332 0.8626 0.5723 Tm
0.5000 0.5000 0.5000 Te
0.3684 0.0917 0.0663 Te
0.6316 0.9083 0.9337 Te
0.0663 0.3684 0.0917 Te
0.9083 0.9337 0.6316 Te
0.0917 0.0663 0.3684 Te
0.9337 0.6316 0.9083 Te
0.0000 0.0000 0.0000 Y
```

Values from the calculation:
Total energy (eV per atom): -4.804

---

Entry 6:
## Sr3SbTe4 (PBE)

Data for a relaxed structure of Sr3SbTe4.

Structure (POSCAR):
```
Sr3SbTe4
1.0
4.7574 0.0000 0.0000
-2.3787 4.1201 0.0000
0.0000 0.0000 15.2546
Te Sr Sb
4 3 1
Direct
0.3333 0.6667 0.8955 Te
0.6667 0.3333 0.6320 Te
0.3333 0.6667 0.3680 Te
0.6667 0.3333 0.1045 Te
0.0000 0.0000 0.5000 Sr
0.0000 0.0000 0.7637 Sr
0.0000 0.0000 0.2363 Sr
0.0000 0.0000 0.0000 Sb
```

Values from the calculation:
Polymorph energy (0 for the lowest one) (kJ/mol of formula units): 0

---

Entry 7:
## SmTm3Sn3 (PBE)

Data for a relaxed structure of SmTm3Sn3.

Structure (POSCAR):
```
SmTm3Sn3
1.0
-4.9504 1.6150 1.3851
-2.9929 -2.0360 -8.3226
-0.2106 -6.2702 6.5581
Sn Tm Sm
6 6 2
Direct
0.2500 0.5510 0.9262 Sn
0.7500 0.6248 0.5510 Sn
0.2500 0.3752 0.4490 Sn
0.7500 0.4490 0.0738 Sn
0.2500 0.0738 0.6248 Sn
0.7500 0.9262 0.3752 Sn
0.2500 0.9946 0.2315 Tm
0.7500 0.2315 0.2369 Tm
0.7500 0.0054 0.7685 Tm
0.7500 0.7631 0.9946 Tm
0.2500 0.7685 0.7631 Tm
0.2500 0.2369 0.0054 Tm
0.2500 0.6667 0.3333 Sm
0.7500 0.3333 0.6667 Sm
```

Values from the calculation:
Formation energy (eV/atom): -0.53